Here is crystalline ZrAlNiPt at its relaxed geometry from OQMD via LeMat-Bulk. Energies are from PBE.

Calculated values
* uncorrected energy: -6.785 eV/atom

a b c (Å): 6.3268 6.3268 6.3268
angles (deg): 90.00 90.00 90.00
Atoms (fractional coordinates):
Zr 0.0000 0.0000 0.0000
Zr 0.0000 0.5000 0.5000
Zr 0.5000 0.0000 0.5000
Zr 0.5000 0.5000 0.0000
Al 0.0000 0.0000 0.5000
Al 0.0000 0.5000 0.0000
Al 0.5000 0.0000 0.0000
Al 0.5000 0.5000 0.5000
Ni 0.2500 0.2500 0.7500
Ni 0.2500 0.7500 0.2500
Ni 0.7500 0.2500 0.2500
Ni 0.7500 0.7500 0.7500
Pt 0.2500 0.2500 0.2500
Pt 0.2500 0.7500 0.7500
Pt 0.7500 0.2500 0.7500
Pt 0.7500 0.7500 0.2500

---

Here is crystalline PuAlNi at its relaxed geometry from OQMD via LeMat-Bulk. Energies are from PBE.

Calculated values
* uncorrected energy: -7.972 eV/atom

a b c (Å): 5.9712 5.9712 4.6310
angles (deg): 90.00 90.00 120.00
Atoms (fractional coordinates):
Pu 0.0000 0.5073 0.0000
Pu 0.4927 0.4927 0.0000
Pu 0.5073 0.0000 0.0000
Al 0.0000 0.0000 0.0000
Al 0.3333 0.6667 0.5000
Al 0.6667 0.3333 0.5000
Ni 0.0000 0.2302 0.5000
Ni 0.2302 0.0000 0.5000
Ni 0.7698 0.7698 0.5000

---

Here is crystalline PuAlNi at its relaxed geometry from OQMD via LeMat-Bulk. Energies are from PBE.

Calculated values
* uncorrected energy: -7.844 eV/atom

a b c (Å): 8.1174 8.1174 2.7361
angles (deg): 90.00 90.00 120.00
Atoms (fractional coordinates):
Pu 0.0000 0.3068 0.0000
Pu 0.3068 0.0000 0.0000
Pu 0.6932 0.6932 0.0000
Al 0.0000 0.0000 0.5000
Al 0.3333 0.6667 0.0000
Al 0.6667 0.3333 0.0000
Ni 0.0000 0.6218 0.5000
Ni 0.3782 0.3782 0.5000
Ni 0.6218 0.0000 0.5000

---

Here is crystalline PuAlNi at its relaxed geometry from OQMD via LeMat-Bulk. Energies are from PBE.

Calculated values
* uncorrected energy: -8.253 eV/atom

a b c (Å): 6.7030 6.7030 4.0814
angles (deg): 90.00 90.00 120.00
Atoms (fractional coordinates):
Pu 0.0000 0.5770 0.0000
Pu 0.4230 0.4230 0.0000
Pu 0.5770 0.0000 0.0000
Al 0.0000 0.2348 0.5000
Al 0.2348 0.0000 0.5000
Al 0.7652 0.7652 0.5000
Ni 0.0000 0.0000 0.0000
Ni 0.3333 0.6667 0.5000
Ni 0.6667 0.3333 0.5000

---

Here is crystalline RbAlNi at its relaxed geometry from OQMD via LeMat-Bulk. Energies are from PBE.

Calculated values
* uncorrected energy: -1.945 eV/atom

a b c (Å): 7.3722 7.3722 7.3722
angles (deg): 90.00 90.00 90.00
Atoms (fractional coordinates):
Rb 0.0000 0.0000 0.0000
Rb 0.0000 0.5000 0.5000
Rb 0.5000 0.0000 0.5000
Rb 0.5000 0.5000 0.0000
Al 0.2500 0.2500 0.7500
Al 0.2500 0.7500 0.2500
Al 0.7500 0.2500 0.2500
Al 0.7500 0.7500 0.7500
Ni 0.2500 0.2500 0.2500
Ni 0.2500 0.7500 0.7500
Ni 0.7500 0.2500 0.7500
Ni 0.7500 0.7500 0.2500

---

Here is crystalline RbAlNi at its relaxed geometry from OQMD via LeMat-Bulk. Energies are from PBE.

Calculated values
* uncorrected energy: -2.614 eV/atom

a b c (Å): 6.8843 6.8843 6.8843
angles (deg): 90.00 90.00 90.00
Atoms (fractional coordinates):
Rb 0.0000 0.0000 0.0000
Rb 0.0000 0.5000 0.5000
Rb 0.5000 0.0000 0.5000
Rb 0.5000 0.5000 0.0000
Al 0.0000 0.0000 0.5000
Al 0.0000 0.5000 0.0000
Al 0.5000 0.0000 0.0000
Al 0.5000 0.5000 0.5000
Ni 0.2500 0.2500 0.7500
Ni 0.2500 0.7500 0.2500
Ni 0.7500 0.2500 0.2500
Ni 0.7500 0.7500 0.7500

---

Here is crystalline RbAlNiTe3 at its relaxed geometry from OQMD via LeMat-Bulk. Energies are from PBE.

Calculated values
* uncorrected energy: -3.702 eV/atom

a b c (Å): 8.5372 8.5372 11.2084
angles (deg): 90.00 90.00 152.49
Atoms (fractional coordinates):
Rb 0.2468 0.7532 0.7500
Rb 0.7532 0.2468 0.2500
Al 0.4632 0.5368 0.2500
Al 0.5368 0.4632 0.7500
Ni 0.0000 0.0000 0.0000
Ni 0.0000 0.0000 0.5000
Te 0.0632 0.9368 0.2500
Te 0.3931 0.6069 0.0421
Te 0.3931 0.6069 0.4579
Te 0.6069 0.3931 0.5421
Te 0.6069 0.3931 0.9579
Te 0.9368 0.0632 0.7500

---

Here is crystalline TaAlReNi at its relaxed geometry from OQMD via LeMat-Bulk. Energies are from PBE.

Calculated values
* uncorrected energy: -8.364 eV/atom

a b c (Å): 6.1781 6.1781 6.1781
angles (deg): 90.00 90.00 90.00
Atoms (fractional coordinates):
Ta 0.0000 0.0000 0.0000
Ta 0.0000 0.5000 0.5000
Ta 0.5000 0.0000 0.5000
Ta 0.5000 0.5000 0.0000
Al 0.2500 0.2500 0.2500
Al 0.2500 0.7500 0.7500
Al 0.7500 0.2500 0.7500
Al 0.7500 0.7500 0.2500
Re 0.2500 0.2500 0.7500
Re 0.2500 0.7500 0.2500
Re 0.7500 0.2500 0.2500
Re 0.7500 0.7500 0.7500
Ni 0.0000 0.0000 0.5000
Ni 0.0000 0.5000 0.0000
Ni 0.5000 0.0000 0.0000
Ni 0.5000 0.5000 0.5000